A relaxed AsP2SI crystal. Source: Alexandria, functional GGA-PBE. Values from VASP.

Computed properties:
Total moment = 0.000 Bohr magnetons per cell
Distance to the lowest polymorph of the same formula = 666 meV/atom
Calculated density = 3761 kg/m³
Density of states at the Fermi level = 0.87 states/eV per atom

Geometry as Quantum ESPRESSO input:
```
&SYSTEM
  ibrav = 0, nat = 5, ntyp = 4
/
ATOMIC_SPECIES
As 74.92 As.upf
P 30.97 P.upf
S 32.06 S.upf
I 126.90 I.upf
CELL_PARAMETERS angstrom
5.158 0.000 0.000
0.000 5.158 0.000
0.000 0.000 4.909
ATOMIC_POSITIONS crystal
As 0.000 0.000 0.000
P 0.000 0.500 0.500
P 0.500 0.000 0.500
S 0.500 0.500 0.000
I 0.500 0.500 0.500
```

A relaxed SrGe2Ru crystal. Source: Alexandria, functional GGA-PBE. Values from VASP.

Computed properties:
Total moment = 0.000 Bohr magnetons per cell
Calculated density = 6432 kg/m³
Energy of formation from the pure elements = -381 meV/atom
Density of states at the Fermi level = 0.90 states/eV per atom

Geometry as Quantum ESPRESSO input:
```
&SYSTEM
  ibrav = 0, nat = 4, ntyp = 3
/
ATOMIC_SPECIES
Sr 87.62 Sr.upf
Ge 72.64 Ge.upf
Ru 101.07 Ru.upf
CELL_PARAMETERS angstrom
2.112 1.219 5.579
-2.112 1.219 5.579
0.000 -2.439 5.579
ATOMIC_POSITIONS crystal
Sr 0.000 0.000 0.000
Ge 0.211 0.211 0.211
Ge 0.789 0.789 0.789
Ru 0.500 0.500 0.500
```